(1)
! HfCd2Co | Alexandria | meta-GGA SCAN | single point on PBEsol structure; values from VASP
! - total magnetization (μB per atom) = 0.001
! - total energy (eV per atom) = -34.881
! - energy of formation (eV/f.u.) = 1.28
&SYSTEM
  ibrav = 0, nat = 16, ntyp = 3
/
ATOMIC_SPECIES
Hf 178.49 Hf.upf
Cd 112.41 Cd.upf
Co 58.93 Co.upf
ATOMIC_POSITIONS crystal
Hf 0.0000 0.0000 0.0000
Hf 0.0000 0.5000 0.5000
Hf 0.5000 0.0000 0.5000
Hf 0.5000 0.5000 0.0000
Cd 0.2500 0.2500 0.2500
Cd 0.2500 0.2500 0.7500
Cd 0.2500 0.7500 0.2500
Cd 0.2500 0.7500 0.7500
Cd 0.7500 0.2500 0.2500
Cd 0.7500 0.2500 0.7500
Cd 0.7500 0.7500 0.2500
Cd 0.7500 0.7500 0.7500
Co 0.0000 0.0000 0.5000
Co 0.0000 0.5000 0.0000
Co 0.5000 0.0000 0.0000
Co 0.5000 0.5000 0.5000
CELL_PARAMETERS angstrom
6.4720 0.0000 0.0000
0.0000 6.4720 0.0000
0.0000 0.0000 6.4720

---

(2)
! Hf2CdCo2 | Alexandria | meta-GGA SCAN | single point on PBEsol structure; values from VASP
! - total magnetization (μB per atom) = 0.000
! - total energy (eV per atom) = -38.046
! - energy of formation (eV/f.u.) = 0.14
&SYSTEM
  ibrav = 0, nat = 10, ntyp = 3
/
ATOMIC_SPECIES
Hf 178.49 Hf.upf
Cd 112.41 Cd.upf
Co 58.93 Co.upf
ATOMIC_POSITIONS crystal
Hf 0.0000 0.5000 0.2500
Hf 0.0000 0.5000 0.7500
Hf 0.5000 0.0000 0.2500
Hf 0.5000 0.0000 0.7500
Cd 0.0000 0.0000 0.0000
Cd 0.5000 0.5000 0.5000
Co 0.0000 0.0000 0.3893
Co 0.0000 0.0000 0.6107
Co 0.5000 0.5000 0.1107
Co 0.5000 0.5000 0.8893
CELL_PARAMETERS angstrom
4.2424 0.0000 0.0000
0.0000 4.2424 0.0000
0.0000 0.0000 9.7535

---

(3)
! CdCo2Hg | Alexandria | meta-GGA SCAN | single point on PBEsol structure; values from VASP
! - total magnetization (μB per atom) = 0.847
! - total energy (eV per atom) = -32.845
! - energy of formation (eV/f.u.) = 1.81
&SYSTEM
  ibrav = 0, nat = 8, ntyp = 3
/
ATOMIC_SPECIES
Cd 112.41 Cd.upf
Co 58.93 Co.upf
Hg 200.59 Hg.upf
ATOMIC_POSITIONS crystal
Cd 0.0000 0.0000 0.0000
Cd 0.5000 0.5000 0.5000
Co 0.0000 0.0000 0.5000
Co 0.0000 0.5000 0.2500
Co 0.5000 0.0000 0.7500
Co 0.5000 0.5000 0.0000
Hg 0.0000 0.5000 0.7500
Hg 0.5000 0.0000 0.2500
CELL_PARAMETERS angstrom
3.8699 0.0000 0.0000
0.0000 3.8699 0.0000
0.0000 0.0000 7.9192

---

(4)
! CdCo2Hg | Alexandria | meta-GGA SCAN | single point on PBEsol structure; values from VASP
! - total magnetization (μB per atom) = 0.757
! - total energy (eV per atom) = -32.736
! - energy of formation (eV/f.u.) = 2.24
&SYSTEM
  ibrav = 0, nat = 16, ntyp = 3
/
ATOMIC_SPECIES
Cd 112.41 Cd.upf
Co 58.93 Co.upf
Hg 200.59 Hg.upf
ATOMIC_POSITIONS crystal
Cd 0.0000 0.0000 0.0000
Cd 0.0000 0.5000 0.5000
Cd 0.5000 0.0000 0.5000
Cd 0.5000 0.5000 0.0000
Co 0.2500 0.2500 0.2500
Co 0.2500 0.2500 0.7500
Co 0.2500 0.7500 0.2500
Co 0.2500 0.7500 0.7500
Co 0.7500 0.2500 0.2500
Co 0.7500 0.2500 0.7500
Co 0.7500 0.7500 0.2500
Co 0.7500 0.7500 0.7500
Hg 0.0000 0.0000 0.5000
Hg 0.0000 0.5000 0.0000
Hg 0.5000 0.0000 0.0000
Hg 0.5000 0.5000 0.5000
CELL_PARAMETERS angstrom
6.1646 0.0000 0.0000
0.0000 6.1646 0.0000
0.0000 0.0000 6.1646

---

(5)
! CdCoHg2 | Alexandria | meta-GGA SCAN | single point on PBEsol structure; values from VASP
! - total magnetization (μB per atom) = 0.432
! - total energy (eV per atom) = -45.751
! - energy of formation (eV/f.u.) = 1.05
&SYSTEM
  ibrav = 0, nat = 4, ntyp = 3
/
ATOMIC_SPECIES
Cd 112.41 Cd.upf
Co 58.93 Co.upf
Hg 200.59 Hg.upf
ATOMIC_POSITIONS crystal
Cd 0.0000 0.0000 0.0000
Co 0.0000 0.0000 0.5000
Hg 0.4979 0.5000 0.2862
Hg 0.5021 0.5000 0.7138
CELL_PARAMETERS angstrom
3.0212 0.0000 0.0000
0.0000 3.1029 0.0000
-0.0293 0.0000 7.6003

---

(6)
! Cd2CoHgOs | Alexandria | meta-GGA SCAN | single point on PBEsol structure; values from VASP
! - total magnetization (μB per atom) = 0.888
! - total energy (eV per atom) = -41.737
! - energy of formation (eV/f.u.) = 9.49
&SYSTEM
  ibrav = 0, nat = 5, ntyp = 4
/
ATOMIC_SPECIES
Cd 112.41 Cd.upf
Co 58.93 Co.upf
Hg 200.59 Hg.upf
Os 190.23 Os.upf
ATOMIC_POSITIONS crystal
Cd 0.0000 0.5000 0.0000
Cd 0.5000 0.0000 0.0000
Co 0.0000 0.0000 0.5000
Hg 0.0000 0.0000 0.0000
Os 0.5000 0.5000 0.5000
CELL_PARAMETERS angstrom
5.0042 0.0000 0.0000
0.0000 5.0042 0.0000
0.0000 0.0000 4.6739